No. 1
VASP calculation (PBE) on crystalline La2TlO5 at its relaxed geometry.

Properties
Formation energy without anion corrections ... -2.20 eV/atom
Size of the total moment ... 0.13 μB/atom
Fermi-level density of states ... 0.96 states/eV per atom
Space group ... No. 63

abc: 6.419 6.419 11.610
angles: 90.00 90.00 139.43
Fractional coordinates of all 16 atoms:
La: 0.141 0.859 0.572
La: 0.141 0.859 0.928
La: 0.859 0.141 0.072
La: 0.859 0.141 0.428
Tl: 0.173 0.827 0.250
Tl: 0.827 0.173 0.750
O: 0.047 0.953 0.113
O: 0.047 0.953 0.387
O: 0.254 0.746 0.750
O: 0.286 0.714 0.084
O: 0.286 0.714 0.416
O: 0.714 0.286 0.584
O: 0.714 0.286 0.916
O: 0.746 0.254 0.250
O: 0.953 0.047 0.613
O: 0.953 0.047 0.887


No. 2
VASP calculation (PBE) on crystalline TiTl2Cl8 at its relaxed geometry.

Properties
Formation energy without anion corrections ... -1.02 eV/atom
Size of the total moment ... 0.00 μB/atom
Fermi-level density of states ... 0.38 states/eV per atom
Space group ... No. 12

abc: 8.626 8.626 6.867
angles: 92.98 92.98 45.85
Fractional coordinates of all 11 atoms:
Ti: 0.000 0.000 0.000
Tl: 0.148 0.148 0.475
Tl: 0.852 0.852 0.525
Cl: 0.138 0.138 0.877
Cl: 0.198 0.710 0.775
Cl: 0.290 0.802 0.225
Cl: 0.306 0.306 0.417
Cl: 0.694 0.694 0.583
Cl: 0.710 0.198 0.775
Cl: 0.802 0.290 0.225
Cl: 0.862 0.862 0.123


No. 3
VASP calculation (PBE) on crystalline ThUTcRu at its relaxed geometry.

Properties
Size of the total moment ... 0.44 μB/atom
Fermi-level density of states ... 1.82 states/eV per atom
ΔE_f ... -0.04 eV per atom
Space group ... No. 216

abc: 4.906 4.906 4.906
angles: 60.00 60.00 60.00
Fractional coordinates of all 4 atoms:
Th: 0.000 0.000 0.000
U: 0.500 0.500 0.500
Tc: 0.250 0.250 0.250
Ru: 0.750 0.750 0.750


- Number 2 is which compound?
  TiTl2Cl8